Crystalline MnTcCl2F at its relaxed geometry, computed with PBE with a Hubbard U.

The structure in POSCAR format:
```
MnTcCl2F
1.0
5.5857 0.0000 0.0000
0.0000 5.5857 0.0000
0.0000 0.0000 3.9650
Mn Tc Cl F
1 1 2 1
direct
0.0000 0.0000 0.0000
0.5000 0.5000 0.0000
0.0000 0.5000 0.5000
0.5000 0.0000 0.5000
0.5000 0.5000 0.5000
```

Properties
The space group is P4/mmm. For the electronic total energy, the calculation gives -0.1704 Ha/atom. The calculation puts the magnetization at 10.65 μB per cell. The density of states at the Fermi level comes out at 0.5362 states/eV/atom.